(1)
Here is an optimized crystal structure of Ca2TlNiC from Alexandria. Energies are from PBE.

abc: 5.5412 5.5412 3.6408
angles: 90.00 90.00 90.00
Last column: nearest neighbours and their distance in Å.
Space group P4/mmm (No. 123)
Asymmetric unit:
Ca  0.0000  0.5000  0.0000 (multiplicity 2)  2 Ni 2.77
Tl  0.0000  0.0000  0.5000 (multiplicity 1)  8 Ca 3.32, 2 Tl 3.64
Ni  0.5000  0.5000  0.0000 (multiplicity 1)  2 C 1.82
C  0.5000  0.5000  0.5000 (multiplicity 1)  2 Ni 1.82

Results
ΔH_f (0 K): 158 meV/atom
Magnetic moment: 0.00 μB/cell

(2)
Here is an optimized crystal structure of Ca2NiWC from Alexandria. Energies are from PBE.

abc: 5.7011 5.7011 3.9321
angles: 90.00 90.00 90.00
Last column: nearest neighbours and their distance in Å.
Space group P4/mmm (No. 123)
Asymmetric unit:
Ca  0.0000  0.5000  0.0000 (multiplicity 2)  2 W 2.85
Ni  0.0000  0.0000  0.5000 (multiplicity 1)  8 Ca 3.46
W  0.5000  0.5000  0.0000 (multiplicity 1)  2 C 1.97
C  0.5000  0.5000  0.5000 (multiplicity 1)  2 W 1.97

Results
ΔH_f (0 K): 1273 meV/atom
Magnetic moment: 0.28 μB/cell

(3)
Here is an optimized crystal structure of CaZnNiC2 from Alexandria. Energies are from PBE.

abc: 4.3125 4.3125 5.1694
angles: 90.00 90.00 90.00
Last column: nearest neighbours and their distance in Å.
Space group P4/mmm (No. 123)
Asymmetric unit:
Ca  0.0000  0.0000  0.0000 (multiplicity 1)  4 C 2.16
Zn  0.0000  0.0000  0.5000 (multiplicity 1)  2 Ca 2.58
Ni  0.5000  0.5000  0.5000 (multiplicity 1)  4 Zn 3.05, 8 C 3.37
C  0.0000  0.5000  0.0000 (multiplicity 2)  2 Ca 2.16

Results
ΔH_f (0 K): 2779 meV/atom
Magnetic moment: 0.00 μB/cell

(4)
Here is an optimized crystal structure of CaNpC2 from Alexandria. Energies are from PBE.

abc: 3.5873 3.5873 17.1426
angles: 90.00 90.00 120.00
Last column: nearest neighbours and their distance in Å.
Space group R-3m (No. 166, hexagonal axes)
Asymmetric unit:
Ca  0.0000  0.0000  0.0000 (multiplicity 3)  6 C 2.75
Np  0.0000  0.0000  0.5000 (multiplicity 3)  6 C 2.32
C  0.0000  0.0000  0.2282 (multiplicity 6)  3 Np 2.32

Results
ΔH_f (0 K): 185 meV/atom
Magnetic moment: 3.02 μB/cell

(5)
Here is an optimized crystal structure of CaNpC2O8 from Alexandria. Energies are from PBE.

abc: 4.6257 4.6257 22.1411
angles: 90.00 90.00 120.00
Last column: nearest neighbours and their distance in Å.
Space group R32 (No. 155, hexagonal axes)
Asymmetric unit:
Ca  0.0000  0.0000  0.0000 (multiplicity 3)  12 O 2.71-2.89
Np  0.0000  0.0000  0.5000 (multiplicity 3)  6 O 2.12
C  0.0000  0.0000  0.2525 (multiplicity 6)  4 O 1.31-1.43
O  0.0000  0.0000  0.3116 (multiplicity 6)  1 C 1.31
O  0.0117  0.2911  0.2281 (multiplicity 18)  1 C 1.43

Results
Calculated total energy: -7.9208 eV/atom
Magnetic moment: 3.00 μB/cell

(6)
Here is an optimized crystal structure of Ca2CO4 from Alexandria. Energies are from PBE.

abc: 7.2666 9.6034 5.1233
angles: 90.00 90.00 90.00
Last column: nearest neighbours and their distance in Å.
Space group Cmcm (No. 63)
Asymmetric unit:
Ca  0.2272  0.1439  0.2500 (multiplicity 8)  5 O 2.29-2.49
C  0.0000  0.1655  0.7500 (multiplicity 4)  4 O 1.40-1.43
O  0.0000  0.2544  0.5259 (multiplicity 8)  1 C 1.43
O  0.1639  0.0894  0.7500 (multiplicity 8)  1 C 1.40

Results
Calculated total energy: -7.0103 eV/atom
Magnetic moment: 0.00 μB/cell

(7)
Here is an optimized crystal structure of Ca2CO4 from Alexandria. Energies are from PBE.

abc: 5.0436 5.0452 6.8135
angles: 90.00 101.59 90.00
Last column: nearest neighbours and their distance in Å.
Space group P2_1/m (No. 11)
Asymmetric unit:
Ca  0.2211  0.2500  0.0297 (multiplicity 2)  8 O 2.34-2.60
Ca  0.2550  0.2500  0.5319 (multiplicity 2)  5 O 2.30-2.42
C  0.2179  0.7500  0.7820 (multiplicity 2)  4 O 1.40-1.43
O  0.0513  0.5245  0.7341 (multiplicity 4)  1 C 1.41
O  0.3204  0.7500  0.9893 (multiplicity 2)  1 C 1.40
O  0.4266  0.7500  0.6679 (multiplicity 2)  1 C 1.43

Results
Calculated total energy: -7.0651 eV/atom
Magnetic moment: 0.00 μB/cell

(8)
Here is an optimized crystal structure of CaCO2 from Alexandria. Energies are from PBE.

abc: 4.5233 4.5233 10.2797
angles: 90.00 90.00 90.00
Last column: nearest neighbours and their distance in Å.
Space group I-42d (No. 122)
Asymmetric unit:
Ca  0.0000  0.0000  0.0000 (multiplicity 4)  4 O 2.27
C  0.0000  0.0000  0.5000 (multiplicity 4)  4 O 1.88
O  0.1694  0.2500  0.6250 (multiplicity 8)  2 C 1.88

Results
Calculated total energy: -5.5638 eV/atom
Magnetic moment: 0.00 μB/cell

Respective density values: 5.277; 4.349; 3.251; 7.851; 5.210; 2.901; 3.054; 2.656 g/cm³.